1.
First-principles (PBE) data for crystalline LaMo7 at its relaxed geometry, as listed in Alexandria via LeMat-Bulk.

Its symmetry is Fm-3m (225). As for the energy of formation from the pure elements: 0.822 eV per atom. Its crystal system is cubic.

Structure (POSCAR):
```
LaMo7
1.0
0.000 4.116 4.116
4.116 0.000 4.116
4.116 4.116 0.000
La Mo
1 7
direct
0.000 0.000 0.000
0.000 0.500 0.500
0.500 0.000 0.500
0.500 0.500 0.000
0.000 0.000 0.500
0.000 0.500 0.000
0.500 0.000 0.000
0.500 0.500 0.500
```

***

2.
First-principles (PBE) data for crystalline La2Mo at its relaxed geometry, as listed in Alexandria via LeMat-Bulk.

Its symmetry is C2/m (12). As for the energy of formation from the pure elements: 0.367 eV per atom. The energy above the most stable polymorph in this dataset comes out at 0.139 eV per atom. Its crystal system is monoclinic.

Structure (POSCAR):
```
La2Mo
1.0
-5.352 -4.255 -1.283
-1.728 -5.392 -4.604
4.619 3.266 4.610
La Mo
2 1
direct
0.932 0.969 0.963
0.734 0.698 0.037
0.333 0.333 0.000
```

***

3.
First-principles (PBE) data for crystalline LaMo2 at its relaxed geometry, as listed in Alexandria via LeMat-Bulk.

Its symmetry is P6_3/mmc (194). As for the energy of formation from the pure elements: 0.510 eV per atom. The energy above the most stable polymorph in this dataset comes out at 0.211 eV per atom. Its crystal system is hexagonal.

Structure (POSCAR):
```
LaMo2
1.0
2.172 -3.763 0.000
2.172 3.763 0.000
0.000 0.000 8.334
La Mo
2 4
direct
0.000 0.000 0.250
0.000 0.000 0.750
0.667 0.333 0.033
0.667 0.333 0.467
0.333 0.667 0.533
0.333 0.667 0.967
```

***

4.
First-principles (PBE) data for crystalline La2Mo at its relaxed geometry, as listed in Alexandria via LeMat-Bulk.

Its symmetry is P6_3/mmc (194). As for the energy of formation from the pure elements: 0.456 eV per atom. The energy above the most stable polymorph in this dataset comes out at 0.228 eV per atom. Its crystal system is hexagonal.

Structure (POSCAR):
```
La2Mo
1.0
2.442 -4.230 0.000
2.442 4.230 0.000
0.000 0.000 7.966
La Mo
4 2
direct
0.000 0.000 0.000
0.000 0.000 0.500
0.333 0.667 0.250
0.667 0.333 0.750
0.333 0.667 0.750
0.667 0.333 0.250
```

***

5.
First-principles (PBE) data for crystalline LaMo3 at its relaxed geometry, as listed in Alexandria via LeMat-Bulk.

Its symmetry is Immm (71). As for the energy of formation from the pure elements: 0.596 eV per atom. The energy above the most stable polymorph in this dataset comes out at 0.207 eV per atom. Its crystal system is orthorhombic.

Structure (POSCAR):
```
LaMo3
1.0
-3.753 2.611 -2.168
1.512 -4.714 -2.389
-2.119 -2.270 0.935
La Mo
1 3
direct
0.917 0.000 0.000
0.179 0.525 0.238
0.417 0.000 0.500
0.654 0.475 0.762
```

***

6.
First-principles (PBE) data for crystalline LaMo3 at its relaxed geometry, as listed in Alexandria via LeMat-Bulk.

Its symmetry is P4/mmm (123). As for the energy of formation from the pure elements: 0.390 eV per atom. The energy above the most stable polymorph in this dataset comes out at 0.000 eV per atom. Its crystal system is tetragonal.

Structure (POSCAR):
```
LaMo3
1.0
3.202 0.000 0.000
0.000 3.202 0.000
0.000 0.000 7.707
La Mo
1 3
direct
0.000 0.000 0.000
0.000 0.000 0.500
0.500 0.500 0.308
0.500 0.500 0.692
```

***

7.
First-principles (PBE) data for crystalline LaMo3 at its relaxed geometry, as listed in Alexandria via LeMat-Bulk.

Its symmetry is Pnma (62). As for the energy of formation from the pure elements: 0.535 eV per atom. The energy above the most stable polymorph in this dataset comes out at 0.146 eV per atom. Its crystal system is orthorhombic.

Structure (POSCAR):
```
LaMo3
1.0
-1.684 -4.229 -3.163
9.301 -3.093 -0.816
-0.667 -3.243 4.691
Mo La
12 4
direct
0.961 0.250 0.839
0.307 0.973 0.384
0.307 0.527 0.384
0.193 0.473 0.884
0.193 0.027 0.884
0.539 0.750 0.339
0.461 0.250 0.661
0.807 0.973 0.116
0.807 0.527 0.116
0.693 0.473 0.616
0.693 0.027 0.616
0.039 0.750 0.161
0.972 0.750 0.638
0.528 0.250 0.138
0.472 0.750 0.862
0.028 0.250 0.362
```

***

8.
First-principles (PBE) data for crystalline LaMo2 at its relaxed geometry, as listed in Alexandria via LeMat-Bulk.

Its symmetry is Fd-3m (227). As for the energy of formation from the pure elements: 0.299 eV per atom. The energy above the most stable polymorph in this dataset comes out at 0.000 eV per atom. Its crystal system is cubic.

Structure (POSCAR):
```
LaMo2
1.0
-1.219 -5.476 0.291
1.022 -2.857 4.727
-4.270 -1.760 3.197
La Mo
2 4
direct
0.250 0.250 0.250
0.000 0.000 0.000
0.625 0.125 0.625
0.625 0.625 0.625
0.625 0.625 0.125
0.125 0.625 0.625
```